# 1
VASP calculation (PBE) on an optimized crystal structure of BaZnPt4.

Results
- N(E_F) (states/eV/f.u.) = 5.5
- formation energy (eV per atom) = -0.40

a b c (Å): 5.508 5.508 5.508
angles (deg): 60.00 60.00 60.00
Positions (direct):
Ba1 0.000 0.000 0.000
Zn1 0.750 0.750 0.750
Pt1 0.872 0.376 0.376
Pt2 0.376 0.376 0.872
Pt3 0.376 0.872 0.376
Pt4 0.376 0.376 0.376

---

# 2
VASP calculation (PBE) on an optimized crystal structure of BaZn2Pt.

Results
- N(E_F) (states/eV/f.u.) = 1.5
- formation energy (eV per atom) = -0.37

a b c (Å): 4.119 4.117 6.227
angles (deg): 89.84 90.00 90.00
Positions (direct):
Ba1 0.000 0.377 0.557
Pt1 0.500 0.876 0.820
Zn1 0.000 0.874 0.062
Zn2 0.500 0.374 0.062

---

# 3
VASP calculation (PBE) on an optimized crystal structure of Ba4ZnPt2.

Results
- N(E_F) (states/eV/f.u.) = 4.1
- formation energy (eV per atom) = -0.52

a b c (Å): 8.136 8.136 8.782
angles (deg): 105.14 105.14 73.23
Positions (direct):
Ba1 0.127 0.127 0.825
Ba2 0.612 0.612 0.337
Ba3 0.139 0.139 0.355
Ba4 0.616 0.142 0.966
Ba5 0.142 0.616 0.966
Ba6 0.609 0.609 0.826
Ba7 0.164 0.635 0.478
Ba8 0.635 0.164 0.478
Zn1 0.834 0.834 0.197
Zn2 0.812 0.812 0.680
Pt1 0.341 0.341 0.699
Pt2 0.342 0.342 0.199
Pt3 0.918 0.458 0.621
Pt4 0.458 0.918 0.621

---

# 4
VASP calculation (PBE) on an optimized crystal structure of Ba5Zn5Pt2.

Results
- N(E_F) (states/eV/f.u.) = 7.9
- formation energy (eV per atom) = -0.40

a b c (Å): 4.470 8.996 10.103
angles (deg): 83.81 77.22 75.61
Positions (direct):
Ba1 0.000 0.500 0.500
Ba2 0.691 0.695 0.923
Ba3 0.385 0.918 0.312
Ba4 0.615 0.082 0.688
Ba5 0.309 0.305 0.077
Zn1 0.707 0.248 0.338
Zn2 0.928 0.328 0.816
Zn3 0.072 0.672 0.184
Zn4 0.293 0.752 0.662
Zn5 0.000 0.000 0.000
Pt1 0.386 0.467 0.760
Pt2 0.614 0.533 0.240

---

# 5
VASP calculation (PBE) on an optimized crystal structure of Ba2Zn9Pt3.

Results
- N(E_F) (states/eV/f.u.) = 7.0
- formation energy (eV per atom) = -0.40

a b c (Å): 7.956 7.956 11.010
angles (deg): 90.98 109.12 121.53
Positions (direct):
Ba1 0.338 0.236 0.757
Ba2 0.662 0.764 0.243
Ba3 0.978 0.581 0.743
Ba4 0.022 0.419 0.257
Zn1 0.468 0.908 0.748
Zn2 0.532 0.092 0.252
Zn3 0.660 0.719 0.752
Zn4 0.340 0.281 0.248
Zn5 0.456 0.651 0.926
Zn6 0.544 0.349 0.074
Zn7 0.225 0.530 0.574
Zn8 0.775 0.470 0.426
Zn9 0.866 0.116 0.750
Zn10 0.134 0.884 0.250
Zn11 0.159 0.999 0.992
Zn12 0.841 0.001 0.008
Zn13 0.507 0.167 0.508
Zn14 0.493 0.833 0.492
Zn15 0.860 0.858 0.555
Zn16 0.140 0.142 0.445
Zn17 0.803 0.304 0.945
Zn18 0.197 0.696 0.055
Pt1 0.500 0.000 0.000
Pt2 0.500 0.500 0.500
Pt3 0.846 0.176 0.497
Pt4 0.154 0.824 0.503
Pt5 0.179 0.349 0.003
Pt6 0.821 0.651 0.997

---

# 6
VASP calculation (PBE) on an optimized crystal structure of BaZn2Pt.

Results
- N(E_F) (states/eV/f.u.) = 2.1
- formation energy (eV per atom) = -0.41

a b c (Å): 5.012 5.012 9.439
angles (deg): 74.60 74.60 90.00
Positions (direct):
Zn1 0.875 0.125 0.250
Zn2 0.875 0.625 0.250
Zn3 0.375 0.125 0.750
Zn4 0.875 0.125 0.750
Ba1 0.500 0.500 0.000
Ba2 0.250 0.750 0.500
Pt1 0.000 0.000 0.000
Pt2 0.750 0.250 0.500

---

# 7
VASP calculation (PBE) on an optimized crystal structure of BaZn4Pt2.

Results
- N(E_F) (states/eV/f.u.) = 3.2
- distance to the lowest polymorph of the same formula (meV per atom) = 87
- formation energy (eV per atom) = -0.44

a b c (Å): 4.543 4.535 7.244
angles (deg): 108.24 90.00 90.00
Positions (direct):
Ba1 0.000 0.000 0.000
Zn1 0.500 0.803 0.606
Zn2 0.000 0.691 0.382
Zn3 0.500 0.197 0.394
Zn4 0.000 0.309 0.618
Pt1 0.500 0.603 0.206
Pt2 0.500 0.397 0.794

---

# 8
VASP calculation (PBE) on an optimized crystal structure of BaZnPt2.

Results
- N(E_F) (states/eV/f.u.) = 1.6
- formation energy (eV per atom) = -0.59

a b c (Å): 5.524 5.838 12.195
angles (deg): 90.00 106.88 90.00
Positions (direct):
Zn1 0.120 0.000 0.780
Zn2 0.120 0.500 0.280
Zn3 0.581 0.000 0.784
Zn4 0.581 0.500 0.284
Ba1 0.858 0.000 0.234
Ba2 0.858 0.500 0.734
Ba3 0.666 0.000 0.501
Ba4 0.666 0.500 0.001
Pt1 0.266 0.746 0.129
Pt2 0.266 0.254 0.129
Pt3 0.266 0.246 0.629
Pt4 0.266 0.754 0.629
Pt5 0.457 0.000 0.978
Pt6 0.457 0.500 0.478
Pt7 0.952 0.000 0.956
Pt8 0.952 0.500 0.456

---

Number 1: DFT total energy -4.96 eV/atom, total moment 0.00 μB per formula unit. Number 2: DFT total energy -3.00 eV/atom, total moment 0.00 μB per formula unit. Number 3: DFT total energy -3.52 eV/atom, total moment 0.00 μB per formula unit. Number 4: DFT total energy -2.74 eV/atom, total moment 0.00 μB per formula unit. Number 5: DFT total energy -2.79 eV/atom, total moment 0.00 μB per formula unit. Number 6: DFT total energy -3.04 eV/atom, total moment 0.00 μB per formula unit. Number 7: DFT total energy -3.17 eV/atom, total moment 0.00 μB per formula unit. Number 8: DFT total energy -4.41 eV/atom, total moment 0.00 μB per formula unit.